DFT (GGA-PBE) results for FeNi4Pt after structural relaxation.

abc: 4.6766 4.6766 4.6766
angles: 60.00 60.00 60.00
Closest atoms and distances in Å follow each position.
Atoms (fractional coordinates):
Fe: 0.0000 0.0000 0.0000  12 Ni 2.74, 4 Pt 2.86
Ni: 0.1253 0.6249 0.6249  6 Ni 2.34
Ni: 0.6249 0.1253 0.6249  6 Ni 2.34
Ni: 0.6249 0.6249 0.1253  6 Ni 2.34
Ni: 0.6249 0.6249 0.6249  6 Ni 2.34
Pt: 0.2500 0.2500 0.2500  12 Ni 2.74, 4 Fe 2.86

Results
calculated total energy	-6.278	eV/atom
offset from the most stable computed form	0.095	eV per atom
energy of formation	-0.152	kcal/mol of atoms



DFT (GGA-PBE) results for FeNi3Pt12 after structural relaxation.

abc: 3.8898 3.8898 15.5654
angles: 90.00 90.00 90.00
Closest atoms and distances in Å follow each position.
Atoms (fractional coordinates):
Fe: 0.0000 0.0000 0.0000  12 Pt 2.75
Ni: 0.0000 0.0000 0.2524  12 Pt 2.73-2.77
Ni: 0.0000 0.0000 0.5000  12 Pt 2.75
Ni: 0.0000 0.0000 0.7476  12 Pt 2.73-2.77
Pt: 0.0000 0.5000 0.1253  8 Pt 2.75, 2 Fe 2.75, 2 Ni 2.77
Pt: 0.0000 0.5000 0.3755  4 Ni 2.73-2.75, 8 Pt 2.75
Pt: 0.0000 0.5000 0.6245  4 Ni 2.73-2.75, 8 Pt 2.75
Pt: 0.0000 0.5000 0.8747  8 Pt 2.75, 2 Fe 2.75, 2 Ni 2.77
Pt: 0.5000 0.0000 0.1253  8 Pt 2.75, 2 Fe 2.75, 2 Ni 2.77
Pt: 0.5000 0.0000 0.3755  4 Ni 2.73-2.75, 8 Pt 2.75
Pt: 0.5000 0.0000 0.6245  4 Ni 2.73-2.75, 8 Pt 2.75
Pt: 0.5000 0.0000 0.8747  8 Pt 2.75, 2 Fe 2.75, 2 Ni 2.77
Pt: 0.5000 0.5000 0.0000  4 Fe 2.75, 8 Pt 2.75
Pt: 0.5000 0.5000 0.2504  4 Ni 2.75, 8 Pt 2.75
Pt: 0.5000 0.5000 0.5000  8 Pt 2.75, 4 Ni 2.75
Pt: 0.5000 0.5000 0.7496  4 Ni 2.75, 8 Pt 2.75

Results
calculated total energy	-6.252	eV/atom
energy of formation	-2.506	kcal/mol of atoms



DFT (GGA-PBE) results for Fe2Ni3Pt2 after structural relaxation.

abc: 4.3693 9.6847 4.3453
angles: 90.00 97.33 90.00
Closest atoms and distances in Å follow each position.
Atoms (fractional coordinates):
Fe: 0.1085 0.1848 0.3041  5 Ni 2.39-2.65, 2 Fe 2.51, 3 Pt 2.53-2.63
Fe: 0.1085 0.3152 0.8041  5 Ni 2.39-2.65, 2 Fe 2.51, 3 Pt 2.53-2.63
Fe: 0.8915 0.6848 0.1959  5 Ni 2.39-2.65, 2 Fe 2.51, 3 Pt 2.53-2.63
Fe: 0.8915 0.8152 0.6959  5 Ni 2.39-2.65, 2 Fe 2.51, 3 Pt 2.53-2.63
Ni: 0.0510 0.0567 0.7621  4 Fe 2.39-2.65, 4 Ni 2.43-2.59, 2 Pt 2.57-2.59
Ni: 0.0510 0.4433 0.2621  4 Fe 2.39-2.65, 4 Ni 2.43-2.59, 2 Pt 2.57-2.59
Ni: 0.5000 0.0000 0.5000  4 Ni 2.45-2.59, 2 Fe 2.55, 4 Pt 2.60-2.74
Ni: 0.5000 0.5000 0.0000  4 Ni 2.45-2.59, 2 Fe 2.55, 4 Pt 2.60-2.74
Ni: 0.9490 0.5567 0.7379  4 Fe 2.39-2.65, 4 Ni 2.43-2.59, 2 Pt 2.57-2.59
Ni: 0.9490 0.9433 0.2379  4 Fe 2.39-2.65, 4 Ni 2.43-2.59, 2 Pt 2.57-2.59
Pt: 0.4176 0.6559 0.5088  3 Fe 2.53-2.63, 5 Ni 2.57-2.74, 2 Pt 2.84
Pt: 0.4176 0.8441 0.0088  3 Fe 2.53-2.63, 5 Ni 2.57-2.74, 2 Pt 2.84
Pt: 0.5824 0.1559 0.9912  3 Fe 2.53-2.63, 5 Ni 2.57-2.74, 2 Pt 2.84
Pt: 0.5824 0.3441 0.4912  3 Fe 2.53-2.63, 5 Ni 2.57-2.74, 2 Pt 2.84

Results
calculated total energy	-6.613	eV/atom
offset from the most stable computed form	0.150	eV per atom
energy of formation	0.204	kcal/mol of atoms



DFT (GGA-PBE) results for FeNi2Pt after structural relaxation.

abc: 5.8662 5.8662 5.8662
angles: 90.00 90.00 90.00
Closest atoms and distances in Å follow each position.
Atoms (fractional coordinates):
Fe: 0.0000 0.0000 0.0000  8 Ni 2.54
Fe: 0.0000 0.5000 0.5000  8 Ni 2.54
Fe: 0.5000 0.0000 0.5000  8 Ni 2.54
Fe: 0.5000 0.5000 0.0000  8 Ni 2.54
Ni: 0.2500 0.2500 0.2500  4 Pt 2.54, 4 Fe 2.54
Ni: 0.2500 0.2500 0.7500  4 Fe 2.54, 4 Pt 2.54
Ni: 0.2500 0.7500 0.2500  4 Fe 2.54, 4 Pt 2.54
Ni: 0.2500 0.7500 0.7500  4 Fe 2.54, 4 Pt 2.54
Ni: 0.7500 0.2500 0.2500  4 Fe 2.54, 4 Pt 2.54
Ni: 0.7500 0.2500 0.7500  4 Fe 2.54, 4 Pt 2.54
Ni: 0.7500 0.7500 0.2500  4 Fe 2.54, 4 Pt 2.54
Ni: 0.7500 0.7500 0.7500  4 Fe 2.54, 4 Pt 2.54
Pt: 0.0000 0.0000 0.5000  8 Ni 2.54
Pt: 0.0000 0.5000 0.0000  8 Ni 2.54
Pt: 0.5000 0.0000 0.0000  8 Ni 2.54
Pt: 0.5000 0.5000 0.5000  8 Ni 2.54

Results
calculated total energy	-6.561	eV/atom
energy of formation	-1.031	kcal/mol of atoms



DFT (GGA-PBE) results for Fe2NiPt after structural relaxation.

abc: 5.9389 5.9389 5.9389
angles: 90.00 90.00 90.00
Closest atoms and distances in Å follow each position.
Atoms (fractional coordinates):
Fe: 0.2500 0.2500 0.2500  4 Ni 2.57, 4 Pt 2.57
Fe: 0.2500 0.2500 0.7500  4 Ni 2.57, 4 Pt 2.57
Fe: 0.2500 0.7500 0.2500  4 Ni 2.57, 4 Pt 2.57
Fe: 0.2500 0.7500 0.7500  4 Ni 2.57, 4 Pt 2.57
Fe: 0.7500 0.2500 0.2500  4 Ni 2.57, 4 Pt 2.57
Fe: 0.7500 0.2500 0.7500  4 Ni 2.57, 4 Pt 2.57
Fe: 0.7500 0.7500 0.2500  4 Ni 2.57, 4 Pt 2.57
Fe: 0.7500 0.7500 0.7500  4 Ni 2.57, 4 Pt 2.57
Ni: 0.0000 0.0000 0.0000  8 Fe 2.57
Ni: 0.0000 0.5000 0.5000  8 Fe 2.57
Ni: 0.5000 0.0000 0.5000  8 Fe 2.57
Ni: 0.5000 0.5000 0.0000  8 Fe 2.57
Pt: 0.0000 0.0000 0.5000  8 Fe 2.57
Pt: 0.0000 0.5000 0.0000  8 Fe 2.57
Pt: 0.5000 0.0000 0.0000  8 Fe 2.57
Pt: 0.5000 0.5000 0.5000  8 Fe 2.57

Results
calculated total energy	-7.183	eV/atom
energy of formation	0.081	kcal/mol of atoms



DFT (GGA-PBE) results for FeNi2Pt8 after structural relaxation.

abc: 7.2477 7.2477 6.1643
angles: 105.36 105.36 31.25
Closest atoms and distances in Å follow each position.
Atoms (fractional coordinates):
Fe: 0.0000 0.0000 0.0000  12 Pt 2.72-2.76
Ni: 0.2750 0.2750 0.3676  10 Pt 2.67-2.79, 2 Ni 2.76
Ni: 0.7250 0.7250 0.6324  10 Pt 2.67-2.79, 2 Ni 2.76
Pt: 0.0970 0.0970 0.4502  3 Ni 2.67-2.68, 8 Pt 2.70-2.94, 1 Fe 2.73
Pt: 0.1812 0.1812 0.9148  1 Fe 2.72, 8 Pt 2.74-2.78, 3 Ni 2.74-2.79
Pt: 0.3620 0.3620 0.8122  3 Ni 2.68-2.74, 7 Pt 2.70-2.76, 2 Fe 2.76
Pt: 0.4539 0.4539 0.2706  1 Ni 2.72, 9 Pt 2.74-2.82, 2 Fe 2.76
Pt: 0.5461 0.5461 0.7294  1 Ni 2.72, 9 Pt 2.74-2.82, 2 Fe 2.76
Pt: 0.6380 0.6380 0.1878  3 Ni 2.68-2.74, 7 Pt 2.70-2.76, 2 Fe 2.76
Pt: 0.8188 0.8188 0.0852  1 Fe 2.72, 8 Pt 2.74-2.78, 3 Ni 2.74-2.79
Pt: 0.9030 0.9030 0.5498  3 Ni 2.67-2.68, 8 Pt 2.70-2.94, 1 Fe 2.73

Results
calculated total energy	-6.334	eV/atom
energy of formation	-2.764	kcal/mol of atoms



DFT (GGA-PBE) results for FeNi5Pt4 after structural relaxation.

abc: 7.0399 7.0399 5.2710
angles: 102.66 102.66 31.04
Closest atoms and distances in Å follow each position.
Atoms (fractional coordinates):
Fe: 0.0000 0.0000 0.0000  6 Pt 2.63-2.64, 6 Ni 2.64-2.65
Ni: 0.0000 0.0000 0.5000  4 Pt 2.62, 6 Ni 2.62-2.65, 2 Fe 2.64
Ni: 0.2002 0.2002 0.6021  7 Pt 2.63-2.69, 5 Ni 2.65-2.69
Ni: 0.4025 0.4025 0.2001  6 Pt 2.56-2.70, 4 Ni 2.62-2.69, 2 Fe 2.65
Ni: 0.5975 0.5975 0.7999  6 Pt 2.56-2.70, 4 Ni 2.62-2.69, 2 Fe 2.65
Ni: 0.7998 0.7998 0.3979  7 Pt 2.63-2.69, 5 Ni 2.65-2.69
Pt: 0.1989 0.1989 0.1011  7 Ni 2.63-2.69, 1 Fe 2.63, 4 Pt 2.70-2.72
Pt: 0.4038 0.4038 0.6893  8 Ni 2.56-2.70, 2 Fe 2.64, 2 Pt 2.72
Pt: 0.5962 0.5962 0.3107  8 Ni 2.56-2.70, 2 Fe 2.64, 2 Pt 2.72
Pt: 0.8011 0.8011 0.8989  7 Ni 2.63-2.69, 1 Fe 2.63, 4 Pt 2.70-2.72

Results
calculated total energy	-6.282	eV/atom
offset from the most stable computed form	0.000	eV per atom
energy of formation	-2.962	kcal/mol of atoms



DFT (GGA-PBE) results for Fe2NiPt after structural relaxation.

abc: 3.7150 3.7150 7.4150
angles: 90.00 90.00 90.00
Closest atoms and distances in Å follow each position.
Atoms (fractional coordinates):
Fe: 0.0000 0.0000 0.0000  4 Fe 2.62, 4 Ni 2.62, 4 Pt 2.63
Fe: 0.0000 0.5000 0.2500  4 Fe 2.62, 4 Pt 2.62, 4 Ni 2.63
Fe: 0.5000 0.0000 0.7500  4 Pt 2.62, 4 Fe 2.62, 4 Ni 2.63
Fe: 0.5000 0.5000 0.5000  4 Fe 2.62, 4 Ni 2.62, 4 Pt 2.63
Ni: 0.0000 0.5000 0.7500  4 Pt 2.62, 8 Fe 2.62-2.63
Ni: 0.5000 0.0000 0.2500  8 Fe 2.62-2.63, 4 Pt 2.62
Pt: 0.0000 0.0000 0.5000  8 Fe 2.62-2.63, 4 Ni 2.62
Pt: 0.5000 0.5000 0.0000  8 Fe 2.62-2.63, 4 Ni 2.62

Results
calculated total energy	-7.320	eV/atom
energy of formation	-3.080	kcal/mol of atoms



Question: What is the formula in the eighth record?
Answer: Fe2NiPt



Question: What is the formula in the second record?
Answer: FeNi3Pt12



Question: Which formula does entry 8 have?
Answer: Fe2NiPt



Question: Among the records above, which one has the lowest energy of formation?
Answer: number 8